Below is a relaxed MnZnGeRu crystal, with properties calculated at the PBE level.

- Spin magnetization: 0.75 μB per atom
- Formation enthalpy at 0 K: -0.294 eV per formula unit
- Final energy: -6.1576 eV/atom

extended XYZ file:
```
4
Lattice="0.000 3.017 3.017 3.017 0.000 3.017 3.017 3.017 0.000" Properties=species:S:1:pos:R:3 pbc="T T T"
Mn 0.000 0.000 0.000
Zn 1.508 1.508 1.508
Ge 4.525 4.525 4.525
Ru 3.017 3.017 3.017
```